DFT (GGA-PBEsol) results for Sr2MgHg after structural relaxation.

Cell: 4.0016 4.0016 8.1104 Å, 90.00 90.00 90.00°
With the nearest neighbours (Å) after each atom.
Element x y z (fractional)
Sr1 0.0000 0.0000 0.7683  4 Hg 3.40, 4 Mg 3.57, 1 Sr 3.76
Sr2 0.0000 0.0000 0.2317  4 Hg 3.40, 4 Mg 3.57, 1 Sr 3.76
Mg1 0.5000 0.5000 0.5000  8 Sr 3.57
Hg1 0.5000 0.5000 0.0000  8 Sr 3.40

Summary:
* DFT total energy: -7.3 eV/cell
* total moment: 0.000 μB/cell
* ΔE to the lowest computed polymorph: 0.00 kcal/mol of atoms

=====

DFT (GGA-PBEsol) results for Sr2MgHg after structural relaxation.

Cell: 5.6668 5.6668 5.6668 Å, 60.00 60.00 60.00°
With the nearest neighbours (Å) after each atom.
Element x y z (fractional)
Sr1 0.7500 0.7500 0.7500  4 Hg 3.47, 4 Mg 3.47
Sr2 0.2500 0.2500 0.2500  4 Hg 3.47, 4 Mg 3.47
Mg1 0.0000 0.0000 0.0000  8 Sr 3.47
Hg1 0.5000 0.5000 0.5000  8 Sr 3.47

Summary:
* DFT total energy: -7.1 eV/cell
* total moment: 0.000 μB/cell
* ΔE to the lowest computed polymorph: 0.68 kcal/mol of atoms

=====

DFT (GGA-PBEsol) results for SrMgHg after structural relaxation.

Cell: 5.3198 5.3198 5.3198 Å, 60.00 60.00 60.00°
With the nearest neighbours (Å) after each atom.
Element x y z (fractional)
Hg1 0.0000 0.0000 0.0000  4 Sr 3.26
Mg1 0.5000 0.5000 0.5000  4 Sr 3.26
Sr1 0.2500 0.2500 0.2500  4 Hg 3.26, 4 Mg 3.26

Summary:
* DFT total energy: -3.7 eV/cell
* total moment: 0.000 μB/cell

=====

DFT (GGA-PBEsol) results for Sr2MgHg after structural relaxation.

Cell: 4.9014 4.9014 6.4467 Å, 112.34 112.34 90.00°
With the nearest neighbours (Å) after each atom.
Element x y z (fractional)
Hg1 0.5000 0.5000 0.0000  8 Sr 3.47-3.66, 4 Mg 3.66
Mg1 0.2500 0.7500 0.5000  8 Sr 3.47-3.66, 4 Hg 3.66
Sr1 0.0000 0.0000 0.0000  4 Hg 3.47, 4 Mg 3.66, 4 Sr 3.66
Sr2 0.7500 0.2500 0.5000  4 Mg 3.47, 4 Hg 3.66, 4 Sr 3.66

Summary:
* DFT total energy: -6.6 eV/cell
* total moment: 0.000 μB/cell
* ΔE to the lowest computed polymorph: 3.79 kcal/mol of atoms

=====

DFT (GGA-PBEsol) results for MgTa2Hg after structural relaxation.

Cell: 4.0995 4.0995 5.2204 Å, 113.12 113.12 90.00°
With the nearest neighbours (Å) after each atom.
Element x y z (fractional)
Hg1 0.5000 0.5000 0.0000  8 Ta 2.90-2.99, 4 Mg 2.99
Mg1 0.2500 0.7500 0.5000  8 Ta 2.90-2.99, 4 Hg 2.99
Ta1 0.0000 0.0000 0.0000  4 Hg 2.90, 4 Ta 2.99, 4 Mg 2.99
Ta2 0.7500 0.2500 0.5000  4 Mg 2.90, 4 Hg 2.99, 4 Ta 2.99

Summary:
* DFT total energy: -26.0 eV/cell
* total moment: 0.000 μB/cell
* ΔE to the lowest computed polymorph: 4.94 kcal/mol of atoms

=====

DFT (GGA-PBEsol) results for MgTa2Hg after structural relaxation.

Cell: 2.8887 5.0940 5.3652 Å, 98.91 90.00 106.47°
With the nearest neighbours (Å) after each atom.
Element x y z (fractional)
Hg1 0.5060 0.0120 0.4743  3 Mg 2.80-2.91, 2 Hg 2.89, 6 Ta 3.02-3.08
Mg1 0.7531 0.5062 0.2741  3 Hg 2.80-2.91, 2 Mg 2.89, 5 Ta 2.98-3.12
Ta1 0.9886 0.9773 0.9630  5 Ta 2.76-2.89, 4 Hg 3.02-3.08, 1 Mg 3.05
Ta2 0.2523 0.5045 0.7886  5 Ta 2.76-2.89, 2 Mg 2.98, 2 Hg 3.07

Summary:
* DFT total energy: -26.3 eV/cell
* total moment: 0.000 μB/cell
* ΔE to the lowest computed polymorph: 3.14 kcal/mol of atoms

=====

DFT (GGA-PBEsol) results for MgTa2Hg after structural relaxation.

Cell: 4.7105 4.7105 4.7105 Å, 60.00 60.00 60.00°
With the nearest neighbours (Å) after each atom.
Element x y z (fractional)
Hg1 0.5000 0.5000 0.5000  4 Ta 2.88, 4 Mg 2.88
Mg1 0.7500 0.7500 0.7500  4 Hg 2.88, 4 Ta 2.88
Ta1 0.0000 0.0000 0.0000  4 Mg 2.88, 4 Ta 2.88
Ta2 0.2500 0.2500 0.2500  4 Ta 2.88, 4 Hg 2.88

Summary:
* DFT total energy: -25.4 eV/cell
* total moment: 0.302 μB/cell
* ΔE to the lowest computed polymorph: 8.12 kcal/mol of atoms

=====

DFT (GGA-PBEsol) results for MgTa2Hg after structural relaxation.

Cell: 2.8620 2.8620 9.0778 Å, 90.00 90.00 90.00°
With the nearest neighbours (Å) after each atom.
Element x y z (fractional)
Hg1 0.0000 0.0000 0.4997  4 Hg 2.86, 4 Mg 3.01, 4 Ta 3.04
Mg1 0.5000 0.5000 0.7452  4 Mg 2.86, 4 Hg 3.01, 4 Ta 3.11
Ta1 0.0000 0.0000 0.0052  8 Ta 2.86-3.00, 4 Mg 3.11
Ta2 0.5000 0.5000 0.2499  8 Ta 2.86-3.00, 4 Hg 3.04

Summary:
* DFT total energy: -26.8 eV/cell
* total moment: 0.000 μB/cell
* ΔE to the lowest computed polymorph: 0.00 kcal/mol of atoms